No. 1
DFT (GGA-PBE) results for a relaxed TlAsH3 crystal.

Geometry as POSCAR:
```
TlAsH3
1.0
4.040 0.000 0.000
0.000 4.040 0.000
0.000 0.000 4.040
Tl As H
1 1 3
Cartesian
0.000 0.000 0.000 Tl
2.020 2.020 2.020 As
0.000 0.000 2.020 H
0.000 2.020 0.000 H
2.020 0.000 0.000 H
```

Calculated values
Mass density, g/cm3: 7.11
DOS(E_F), states/eV per atom: 0.55
SG: Pm-3m (221)
Polymorph energy (0 for the lowest one), meV per atom: 606
Magnetization, μB per formula unit: 1.59

No. 2
DFT (GGA-PBE) results for a relaxed TlAsH3 crystal.

Geometry as POSCAR:
```
TlAsH3
1.0
4.140 0.000 0.000
0.000 5.406 0.000
0.000 0.000 7.495
Tl As H
2 2 6
Cartesian
1.035 1.351 1.512 Tl
3.105 4.054 5.983 Tl
1.035 1.351 5.382 As
3.105 4.054 2.113 As
0.113 4.054 1.030 H
1.035 1.351 3.595 H
1.957 4.054 1.030 H
2.183 1.351 6.465 H
3.105 4.054 3.900 H
4.027 1.351 6.465 H
```

Calculated values
Mass density, g/cm3: 5.59
DOS(E_F), states/eV per atom: 0.32
SG: Pmmn (59)
Polymorph energy (0 for the lowest one), meV per atom: 14
Magnetization, μB per formula unit: 0.00

No. 3
DFT (GGA-PBE) results for a relaxed Tm2AsH2 crystal.

Geometry as POSCAR:
```
Tm2AsH2
1.0
2.558 -2.550 0.000
2.558 2.550 0.000
-2.508 0.000 5.758
Tm As H
2 1 2
Cartesian
0.027 0.000 1.596 Tm
2.581 0.000 4.162 Tm
2.558 0.000 0.000 As
1.304 1.277 2.879 H
1.304 -1.277 2.879 H
```

Calculated values
E_tot, eV/atom: -4.9410
Mass density, g/cm3: 9.17
DOS(E_F), states/eV per atom: 0.48
SG: C2/m (12)
Magnetization, μB per formula unit: 0.00

No. 4
DFT (GGA-PBE) results for a relaxed UAsH2 crystal.

Geometry as POSCAR:
```
UAsH2
1.0
3.707 0.000 0.000
0.000 2.125 3.317
0.000 -2.125 3.317
U As H
1 1 2
Cartesian
0.000 0.000 0.000 U
1.854 0.000 4.320 As
0.000 -0.695 1.883 H
0.000 0.695 1.883 H
```

Calculated values
Mass density, g/cm3: 10.01
DOS(E_F), states/eV per atom: 0.76
SG: Amm2 (38)
Polymorph energy (0 for the lowest one), meV per atom: 211
Magnetization, μB per formula unit: 0.94

No. 5
DFT (GGA-PBE) results for a relaxed UAsH2 crystal.

Geometry as POSCAR:
```
UAsH2
1.0
1.847 1.066 4.107
-1.847 1.066 4.107
0.000 -2.132 4.107
U As H
1 1 2
Cartesian
0.000 0.000 0.000 U
0.000 0.000 6.161 As
0.000 0.000 3.675 H
0.000 0.000 8.647 H
```

Calculated values
Mass density, g/cm3: 10.78
DOS(E_F), states/eV per atom: 0.47
SG: R-3m (166)
Polymorph energy (0 for the lowest one), meV per atom: 0
Magnetization, μB per formula unit: 1.02

No. 6
DFT (GGA-PBE) results for a relaxed UAsH crystal.

Geometry as POSCAR:
```
UAsH
1.0
3.855 0.000 0.000
-1.928 3.339 0.000
0.000 0.000 3.836
U As H
1 1 1
Cartesian
0.000 0.000 0.000 U
1.928 1.113 1.918 As
0.000 2.226 0.000 H
```

Calculated values
Mass density, g/cm3: 10.56
DOS(E_F), states/eV per atom: 1.14
SG: P-6m2 (187)
Polymorph energy (0 for the lowest one), meV per atom: 0
Magnetization, μB per formula unit: 2.00

No. 7
DFT (GGA-PBE) results for a relaxed U2AsH2 crystal.

Geometry as POSCAR:
```
U2AsH2
1.0
4.784 -3.274 0.000
4.784 3.274 0.000
-4.710 0.000 4.823
U As H
4 2 4
Cartesian
0.737 0.579 1.520 U
-1.618 -0.579 3.931 U
6.475 0.579 0.892 U
4.120 -0.579 3.304 U
3.606 1.426 1.206 As
1.251 -1.426 3.617 As
1.394 2.428 2.557 H
1.108 2.428 4.678 H
3.749 -2.428 0.145 H
3.463 -2.428 2.266 H
```

Calculated values
E_tot, eV/atom: -7.1373
Mass density, g/cm3: 12.16
DOS(E_F), states/eV per atom: 1.62
SG: C2/c (15)
Magnetization, μB per formula unit: 5.37

No. 8
DFT (GGA-PBE) results for a relaxed U3As2H2 crystal.

Geometry as POSCAR:
```
U3As2H2
1.0
1.944 -8.888 0.000
1.944 8.888 0.000
0.000 0.000 6.636
U As H
6 4 4
Cartesian
1.944 7.629 3.711 U
1.944 7.629 6.243 U
1.944 3.611 4.977 U
1.944 -3.611 1.659 U
1.944 -7.629 0.393 U
1.944 -7.629 2.925 U
1.944 3.054 1.659 As
1.944 0.680 4.977 As
1.944 -0.680 1.659 As
1.944 -3.054 4.977 As
1.944 5.600 0.520 H
1.944 5.600 2.798 H
1.944 -5.600 3.838 H
1.944 -5.600 6.116 H
```

Calculated values
E_tot, eV/atom: -7.5435
Mass density, g/cm3: 12.54
DOS(E_F), states/eV per atom: 1.74
SG: Cmcm (63)
Magnetization, μB per formula unit: 2.67

No. 9
DFT (GGA-PBE) results for a relaxed U2AsH crystal.

Geometry as POSCAR:
```
U2AsH
1.0
1.780 1.028 8.074
-1.780 1.028 8.074
0.000 -2.055 8.074
U As H
2 1 1
Cartesian
0.000 0.000 2.097 U
0.000 0.000 22.126 U
0.000 0.000 12.111 As
0.000 0.000 0.000 H
```

Calculated values
E_tot, eV/atom: -7.4655
Mass density, g/cm3: 10.34
DOS(E_F), states/eV per atom: 2.24
SG: R-3m (166)
Magnetization, μB per formula unit: 6.35

No. 10
DFT (GGA-PBE) results for a relaxed U2AsH3 crystal.

Geometry as POSCAR:
```
U2AsH3
1.0
6.728 -1.955 0.000
6.728 1.955 0.000
-2.768 0.000 5.873
U As H
4 2 6
Cartesian
-0.434 0.000 1.149 U
3.377 0.000 2.075 U
7.310 0.000 3.798 U
11.121 0.000 4.725 U
2.180 0.000 5.305 As
8.507 0.000 0.568 As
-0.495 0.000 3.491 H
1.241 0.000 2.690 H
4.881 0.000 3.766 H
5.807 0.000 2.107 H
9.447 0.000 3.183 H
11.182 0.000 2.382 H
```

Calculated values
E_tot, eV/atom: -6.6344
Mass density, g/cm3: 11.91
DOS(E_F), states/eV per atom: 0.91
SG: C2/m (12)
Magnetization, μB per formula unit: 3.68

No. 11
DFT (GGA-PBE) results for a relaxed UAsH crystal.

Geometry as POSCAR:
```
UAsH
1.0
-1.846 1.846 3.880
1.846 -1.846 3.880
1.846 1.846 -3.880
U As H
1 1 1
Cartesian
0.000 0.000 0.000 U
0.000 0.000 4.959 As
0.000 0.000 2.279 H
```

Calculated values
Mass density, g/cm3: 9.85
DOS(E_F), states/eV per atom: 1.23
SG: I4mm (107)
Polymorph energy (0 for the lowest one), meV per atom: 546
Magnetization, μB per formula unit: 1.96

No. 12
DFT (GGA-PBE) results for a relaxed UAsH crystal.

Geometry as POSCAR:
```
UAsH
1.0
2.856 0.000 0.000
0.000 1.817 4.665
0.000 -1.817 4.665
U As H
1 1 1
Cartesian
0.000 0.000 0.000 U
1.428 0.000 2.699 As
1.428 0.000 5.257 H
```

Calculated values
Mass density, g/cm3: 10.77
DOS(E_F), states/eV per atom: 1.42
SG: Amm2 (38)
Polymorph energy (0 for the lowest one), meV per atom: 411
Magnetization, μB per formula unit: 2.58

What did the first record say?
DFT (GGA-PBE) results for a relaxed TlAsH3 crystal.

Geometry as POSCAR:
```
TlAsH3
1.0
4.040 0.000 0.000
0.000 4.040 0.000
0.000 0.000 4.040
Tl As H
1 1 3
Cartesian
0.000 0.000 0.000 Tl
2.020 2.020 2.020 As
0.000 0.000 2.020 H
0.000 2.020 0.000 H
2.020 0.000 0.000 H
```

Calculated values
Mass density, g/cm3: 7.11
DOS(E_F), states/eV per atom: 0.55
SG: Pm-3m (221)
Polymorph energy (0 for the lowest one), meV per atom: 606
Magnetization, μB per formula unit: 1.59

Among the records above, which one has the highest magnetization?
U2AsH

What is the magnetization in the tenth record?
3.68 μB per formula unit